1.
# CaAlMo2

A relaxed structure of CaAlMo2 (PBE-GGA, Alexandria).

The space group is R3m (No. 160, hexagonal axes) and the conventional cell measures 4.4376, 4.4376 and 14.7303 Å, with angles of 90.00, 90.00 and 120.00 degrees. Symmetry generates all atoms from Ca at (0.0000, 0.0000, 0.0000), Al at (0.0000, 0.0000, 0.7933), Mo at (0.0000, 0.0000, 0.2087) and Mo at (0.0000, 0.0000, 0.5035).

For the formation energy, the calculation gives 1.156 eV per formula unit. The total energy comes out at -26.25 eV per formula unit.


2.
# LaCu2Ni

A relaxed structure of LaCu2Ni (PBE-GGA, Alexandria).

The space group is C2/m (No. 12) and the conventional cell measures 5.1370, 8.9384 and 4.0500 Å, with angles of 90.00, 129.01 and 90.00 degrees. Symmetry generates all atoms from La at (0.0000, 0.0000, 0.0000), Cu at (0.2500, 0.2500, 0.5000) and Ni at (0.0000, 0.5000, 0.0000).

For the formation energy, the calculation gives 0.537 eV per formula unit. The total energy comes out at -18.36 eV per formula unit.


3.
# PRh2C

A relaxed structure of PRh2C (PBE-GGA, Alexandria).

The space group is I-42d (No. 122) and the conventional cell measures 4.8938, 4.8938 and 9.9059 Å, with angles of 90.00, 90.00 and 90.00 degrees. Symmetry generates all atoms from P at (0.0000, 0.0000, 0.0000), Rh at (0.1933, 0.2500, 0.6250) and C at (0.0000, 0.0000, 0.5000).

Its energy above the most stable polymorph in this dataset is 0.0000 eV/atom. For the formation energy, the calculation gives 0.183 eV per formula unit. The total energy comes out at -29.15 eV per formula unit.